--- i ---
A relaxed structure of YWF, computed with PBE+U.

CIF file:
```
data_YWF
_cell_length_a 3.6364
_cell_length_b 3.9884
_cell_length_c 8.0703
_cell_angle_alpha 90.00
_cell_angle_beta 90.00
_cell_angle_gamma 90.00
_space_group_name_H-M_alt 'P m m n'
_space_group_IT_number 59
loop_
_space_group_symop_operation_xyz
'x,y,z'
'-x,-y,-z'
'-x+1/2,-y+1/2,z'
'x+1/2,y+1/2,-z'
'x+1/2,-y,-z'
'-x+1/2,y,z'
'-x,y+1/2,-z'
'x,-y+1/2,z'
loop_
_atom_site_label
_atom_site_type_symbol
_atom_site_fract_x
_atom_site_fract_y
_atom_site_fract_z
Y1 Y 0.2500 0.2500 0.1901
W1 W 0.2500 0.7500 0.4997
F1 F 0.2500 0.7500 0.0101
```



--- ii ---
A relaxed structure of YWF, computed with PBE+U.

CIF file:
```
data_YWF
_cell_length_a 3.3910
_cell_length_b 3.4298
_cell_length_c 19.2520
_cell_angle_alpha 90.00
_cell_angle_beta 90.00
_cell_angle_gamma 90.00
_space_group_name_H-M_alt 'A m m 2'
_space_group_IT_number 38
loop_
_space_group_symop_operation_xyz
'x,y,z'
'-x,-y,z'
'-x,y,z'
'x,-y,z'
'x,y+1/2,z+1/2'
'-x,-y+1/2,z+1/2'
'-x,y+1/2,z+1/2'
'x,-y+1/2,z+1/2'
loop_
_atom_site_label
_atom_site_type_symbol
_atom_site_fract_x
_atom_site_fract_y
_atom_site_fract_z
Y1 Y 0.0000 0.0000 0.0000
Y2 Y 0.5000 0.0000 0.2080
W1 W 0.0000 0.0000 0.8191
W2 W 0.5000 0.0000 0.3922
F1 F 0.0000 0.0000 0.6740
F2 F 0.5000 0.0000 0.0869
```



--- iii ---
A relaxed structure of YWF, computed with PBE+U.

CIF file:
```
data_YWF
_cell_length_a 3.3038
_cell_length_b 3.3038
_cell_length_c 12.4623
_cell_angle_alpha 90.00
_cell_angle_beta 90.00
_cell_angle_gamma 120.00
_space_group_name_H-M_alt 'P -3 m 1'
_space_group_IT_number 164
_space_group_name_Hall '-P 3 2"'
loop_
_atom_site_label
_atom_site_type_symbol
_atom_site_fract_x
_atom_site_fract_y
_atom_site_fract_z
Y1 Y 0.0000 0.0000 0.2227
W1 W 0.3333 0.6667 0.4240
F1 F 0.3333 0.6667 0.1127
```



--- iv ---
A relaxed structure of YWF, computed with PBE+U.

CIF file:
```
data_YWF
_cell_length_a 3.5158
_cell_length_b 3.5158
_cell_length_c 8.7489
_cell_angle_alpha 90.00
_cell_angle_beta 90.00
_cell_angle_gamma 90.00
_space_group_name_H-M_alt 'P 4/n m m'
_space_group_IT_number 129
loop_
_space_group_symop_operation_xyz
'x,y,z'
'-x,-y,-z'
'-y+1/2,x,z'
'y+1/2,-x,-z'
'-x+1/2,-y+1/2,z'
'x+1/2,y+1/2,-z'
'y,-x+1/2,z'
'-y,x+1/2,-z'
'x+1/2,-y,-z'
'-x+1/2,y,z'
'-y,-x,-z'
'y,x,z'
'-x,y+1/2,-z'
'x,-y+1/2,z'
'y+1/2,x+1/2,-z'
'-y+1/2,-x+1/2,z'
loop_
_atom_site_label
_atom_site_type_symbol
_atom_site_fract_x
_atom_site_fract_y
_atom_site_fract_z
Y1 Y 0.2500 0.2500 0.1849
W1 W 0.2500 0.2500 0.5660
F1 F 0.2500 0.7500 0.0000
```



Which one sits at the top of the stability order? iv does.



--- i ---
A relaxed structure of YWF, computed with PBE+U.

CIF file:
```
data_YWF
_cell_length_a 3.5458
_cell_length_b 4.7698
_cell_length_c 8.3008
_cell_angle_alpha 80.54
_cell_angle_beta 77.67
_cell_angle_gamma 68.35
_space_group_name_H-M_alt 'P -1'
_space_group_IT_number 2
loop_
_space_group_symop_operation_xyz
'x,y,z'
'-x,-y,-z'
loop_
_atom_site_label
_atom_site_type_symbol
_atom_site_fract_x
_atom_site_fract_y
_atom_site_fract_z
Y1 Y 0.1165 0.0566 0.2110
W1 W 0.3542 0.2871 0.5030
F1 F 0.3639 0.8012 0.9686
```



--- ii ---
A relaxed structure of YWF, computed with PBE+U.

CIF file:
```
data_YWF
_cell_length_a 3.8159
_cell_length_b 3.8159
_cell_length_c 16.0213
_cell_angle_alpha 90.00
_cell_angle_beta 90.00
_cell_angle_gamma 90.00
_space_group_name_H-M_alt 'I 4/m m m'
_space_group_IT_number 139
_space_group_name_Hall '-I 4 2'
loop_
_atom_site_label
_atom_site_type_symbol
_atom_site_fract_x
_atom_site_fract_y
_atom_site_fract_z
Y1 Y 0.0000 0.0000 0.1546
W1 W 0.0000 0.5000 0.0000
F1 F 0.0000 0.5000 0.2500
```



Which one sits at the top of the stability order? ii does.



--- i ---
A relaxed structure of YW3F, computed with PBE+U.

CIF file:
```
data_YW3F
_cell_length_a 5.7457
_cell_length_b 5.7457
_cell_length_c 5.7457
_cell_angle_alpha 90.00
_cell_angle_beta 90.00
_cell_angle_gamma 90.00
_space_group_name_H-M_alt 'P m -3 m'
_space_group_IT_number 221
_space_group_name_Hall '-P 4 2 3'
loop_
_atom_site_label
_atom_site_type_symbol
_atom_site_fract_x
_atom_site_fract_y
_atom_site_fract_z
Y1 Y 0.0000 0.0000 0.0000
W1 W 0.0000 0.0000 0.5000
F1 F 0.5000 0.5000 0.5000
```



--- ii ---
A relaxed structure of YW3F, computed with PBE+U.

CIF file:
```
data_YW3F
_cell_length_a 4.6404
_cell_length_b 4.6404
_cell_length_c 4.6404
_cell_angle_alpha 90.00
_cell_angle_beta 90.00
_cell_angle_gamma 90.00
_space_group_name_H-M_alt 'P m -3 m'
_space_group_IT_number 221
_space_group_name_Hall '-P 4 2 3'
loop_
_atom_site_label
_atom_site_type_symbol
_atom_site_fract_x
_atom_site_fract_y
_atom_site_fract_z
Y1 Y 0.0000 0.0000 0.0000
W1 W 0.0000 0.5000 0.5000
F1 F 0.5000 0.5000 0.5000
```



Which one sits at the top of the stability order? ii does.



--- i ---
A relaxed structure of ZnWF4, computed with PBE+U.

CIF file:
```
data_ZnWF4
_cell_length_a 14.8336
_cell_length_b 5.4378
_cell_length_c 4.9449
_cell_angle_alpha 90.00
_cell_angle_beta 107.54
_cell_angle_gamma 90.00
_space_group_name_H-M_alt 'C 1 2 1'
_space_group_IT_number 5
loop_
_space_group_symop_operation_xyz
'x,y,z'
'-x,y,-z'
'x+1/2,y+1/2,z'
'-x+1/2,y+1/2,-z'
loop_
_atom_site_label
_atom_site_type_symbol
_atom_site_fract_x
_atom_site_fract_y
_atom_site_fract_z
Zn1 Zn 0.0000 0.0000 0.0000
Zn2 Zn 0.0000 0.4034 0.5000
W1 W 0.2003 0.4707 0.1935
F1 F 0.0812 0.5930 0.3140
F2 F 0.1126 0.3149 0.8127
F3 F 0.1918 0.7993 0.9481
F4 F 0.2095 0.1408 0.4343
```



--- ii ---
A relaxed structure of ZnWF4, computed with PBE+U.

CIF file:
```
data_ZnWF4
_cell_length_a 5.4580
_cell_length_b 5.5087
_cell_length_c 6.5819
_cell_angle_alpha 102.88
_cell_angle_beta 97.65
_cell_angle_gamma 99.70
_space_group_name_H-M_alt 'P 1'
_space_group_IT_number 1
loop_
_space_group_symop_operation_xyz
'x,y,z'
loop_
_atom_site_label
_atom_site_type_symbol
_atom_site_fract_x
_atom_site_fract_y
_atom_site_fract_z
Zn1 Zn 0.0000 0.0000 0.0000
Zn2 Zn 0.4079 0.8262 0.3780
W1 W 0.0441 0.3102 0.5899
W2 W 0.6576 0.3005 0.0245
F1 F 0.1068 0.9925 0.3675
F2 F 0.3368 0.6071 0.5792
F3 F 0.3387 0.1851 0.7661
F4 F 0.4140 0.0402 0.1310
F5 F 0.4224 0.5603 0.1306
F6 F 0.7150 0.0328 0.5644
F7 F 0.8454 0.4422 0.3488
F8 F 0.9023 0.5354 0.8589
```



--- iii ---
A relaxed structure of ZnWF4, computed with PBE+U.

CIF file:
```
data_ZnWF4
_cell_length_a 5.8768
_cell_length_b 5.8768
_cell_length_c 10.9646
_cell_angle_alpha 90.00
_cell_angle_beta 90.00
_cell_angle_gamma 90.00
_space_group_name_H-M_alt 'I 4/m c m'
_space_group_IT_number 140
_space_group_name_Hall '-I 4 2c'
loop_
_atom_site_label
_atom_site_type_symbol
_atom_site_fract_x
_atom_site_fract_y
_atom_site_fract_z
Zn1 Zn 0.0000 0.0000 0.2500
W1 W 0.0000 0.5000 0.0000
F1 F 0.1755 0.3245 0.1285
```



Which one sits at the top of the stability order? i does.



--- i ---
A relaxed structure of ZnWF2, computed with PBE+U.

CIF file:
```
data_ZnWF2
_cell_length_a 5.0261
_cell_length_b 5.0261
_cell_length_c 9.6014
_cell_angle_alpha 90.00
_cell_angle_beta 90.00
_cell_angle_gamma 90.00
_space_group_name_H-M_alt 'I -4 2 d'
_space_group_IT_number 122
_space_group_name_Hall 'I -4 2bw'
loop_
_atom_site_label
_atom_site_type_symbol
_atom_site_fract_x
_atom_site_fract_y
_atom_site_fract_z
Zn1 Zn 0.0000 0.0000 0.0000
W1 W 0.0000 0.0000 0.5000
F1 F 0.2159 0.2500 0.1250
```



--- ii ---
A relaxed structure of ZnWF2, computed with PBE+U.

CIF file:
```
data_ZnWF2
_cell_length_a 2.8019
_cell_length_b 2.8019
_cell_length_c 25.1031
_cell_angle_alpha 90.00
_cell_angle_beta 90.00
_cell_angle_gamma 120.00
_space_group_name_H-M_alt 'R -3 m'
_space_group_IT_number 166
_space_group_name_Hall '-R 3 2"'
loop_
_atom_site_label
_atom_site_type_symbol
_atom_site_fract_x
_atom_site_fract_y
_atom_site_fract_z
Zn1 Zn 0.0000 0.0000 0.0000
W1 W 0.0000 0.0000 0.5000
F1 F 0.0000 0.0000 0.4224
```



--- iii ---
A relaxed structure of ZnWF2, computed with PBE+U.

CIF file:
```
data_ZnWF2
_cell_length_a 6.1517
_cell_length_b 6.1517
_cell_length_c 6.1517
_cell_angle_alpha 90.00
_cell_angle_beta 90.00
_cell_angle_gamma 90.00
_space_group_name_H-M_alt 'F m -3 m'
_space_group_IT_number 225
_space_group_name_Hall '-F 4 2 3'
loop_
_atom_site_label
_atom_site_type_symbol
_atom_site_fract_x
_atom_site_fract_y
_atom_site_fract_z
Zn1 Zn 0.0000 0.0000 0.0000
W1 W 0.0000 0.0000 0.5000
F1 F 0.2500 0.2500 0.2500
```



Which one sits at the top of the stability order? ii does.



--- i ---
A relaxed structure of Zn2WF, computed with PBE+U.

CIF file:
```
data_Zn2WF
_cell_length_a 7.6499
_cell_length_b 7.6499
_cell_length_c 4.6454
_cell_angle_alpha 90.00
_cell_angle_beta 90.00
_cell_angle_gamma 90.00
_space_group_name_H-M_alt 'I -4 2 d'
_space_group_IT_number 122
_space_group_name_Hall 'I -4 2bw'
loop_
_atom_site_label
_atom_site_type_symbol
_atom_site_fract_x
_atom_site_fract_y
_atom_site_fract_z
Zn1 Zn 0.2161 0.2500 0.1250
W1 W 0.0000 0.0000 0.5000
F1 F 0.0000 0.0000 0.0000
```



--- ii ---
A relaxed structure of Zn2WF, computed with PBE+U.

CIF file:
```
data_Zn2WF
_cell_length_a 6.2873
_cell_length_b 6.2873
_cell_length_c 6.2873
_cell_angle_alpha 90.00
_cell_angle_beta 90.00
_cell_angle_gamma 90.00
_space_group_name_H-M_alt 'F m -3 m'
_space_group_IT_number 225
_space_group_name_Hall '-F 4 2 3'
loop_
_atom_site_label
_atom_site_type_symbol
_atom_site_fract_x
_atom_site_fract_y
_atom_site_fract_z
Zn1 Zn 0.2500 0.2500 0.2500
W1 W 0.0000 0.0000 0.0000
F1 F 0.0000 0.0000 0.5000
```



Which one sits at the top of the stability order? i does.



--- i ---
A relaxed structure of ZrWF2, computed with PBE+U.

CIF file:
```
data_ZrWF2
_cell_length_a 6.2249
_cell_length_b 6.2249
_cell_length_c 6.2249
_cell_angle_alpha 90.00
_cell_angle_beta 90.00
_cell_angle_gamma 90.00
_space_group_name_H-M_alt 'F m -3 m'
_space_group_IT_number 225
_space_group_name_Hall '-F 4 2 3'
loop_
_atom_site_label
_atom_site_type_symbol
_atom_site_fract_x
_atom_site_fract_y
_atom_site_fract_z
Zr1 Zr 0.0000 0.0000 0.0000
W1 W 0.0000 0.0000 0.5000
F1 F 0.2500 0.2500 0.2500
```



--- ii ---
A relaxed structure of ZrWF2, computed with PBE+U.

CIF file:
```
data_ZrWF2
_cell_length_a 2.9745
_cell_length_b 2.9745
_cell_length_c 25.9713
_cell_angle_alpha 90.00
_cell_angle_beta 90.00
_cell_angle_gamma 120.00
_space_group_name_H-M_alt 'R -3 m'
_space_group_IT_number 166
_space_group_name_Hall '-R 3 2"'
loop_
_atom_site_label
_atom_site_type_symbol
_atom_site_fract_x
_atom_site_fract_y
_atom_site_fract_z
Zr1 Zr 0.0000 0.0000 0.0000
W1 W 0.0000 0.0000 0.5000
F1 F 0.0000 0.0000 0.0772
```



Which one sits at the top of the stability order? ii does.



--- i ---
A relaxed structure of ZrWF2, computed with PBE+U.

CIF file:
```
data_ZrWF2
_cell_length_a 4.2919
_cell_length_b 4.2919
_cell_length_c 14.5293
_cell_angle_alpha 90.00
_cell_angle_beta 90.00
_cell_angle_gamma 90.00
_space_group_name_H-M_alt 'I -4 2 d'
_space_group_IT_number 122
_space_group_name_Hall 'I -4 2bw'
loop_
_atom_site_label
_atom_site_type_symbol
_atom_site_fract_x
_atom_site_fract_y
_atom_site_fract_z
Zr1 Zr 0.0000 0.0000 0.0000
W1 W 0.0000 0.0000 0.5000
F1 F 0.1359 0.2500 0.1250
```



--- ii ---
A relaxed structure of ZrWF2, computed with PBE+U.

CIF file:
```
data_ZrWF2
_cell_length_a 2.8453
_cell_length_b 2.8453
_cell_length_c 23.4664
_cell_angle_alpha 90.00
_cell_angle_beta 90.00
_cell_angle_gamma 120.00
_space_group_name_H-M_alt 'R -3 m'
_space_group_IT_number 166
_space_group_name_Hall '-R 3 2"'
loop_
_atom_site_label
_atom_site_type_symbol
_atom_site_fract_x
_atom_site_fract_y
_atom_site_fract_z
Zr1 Zr 0.0000 0.0000 0.0000
W1 W 0.0000 0.0000 0.5000
F1 F 0.0000 0.0000 0.4026
```



Which one sits at the top of the stability order? ii does.



--- i ---
A relaxed structure of ZrW3F, computed with PBE+U.

CIF file:
```
data_ZrW3F
_cell_length_a 5.4073
_cell_length_b 5.4073
_cell_length_c 5.4073
_cell_angle_alpha 90.00
_cell_angle_beta 90.00
_cell_angle_gamma 90.00
_space_group_name_H-M_alt 'P m -3 m'
_space_group_IT_number 221
_space_group_name_Hall '-P 4 2 3'
loop_
_atom_site_label
_atom_site_type_symbol
_atom_site_fract_x
_atom_site_fract_y
_atom_site_fract_z
Zr1 Zr 0.0000 0.0000 0.0000
W1 W 0.0000 0.0000 0.5000
F1 F 0.5000 0.5000 0.5000
```



--- ii ---
A relaxed structure of ZrW3F, computed with PBE+U.

CIF file:
```
data_ZrW3F
_cell_length_a 4.4198
_cell_length_b 4.4198
_cell_length_c 4.4198
_cell_angle_alpha 90.00
_cell_angle_beta 90.00
_cell_angle_gamma 90.00
_space_group_name_H-M_alt 'P m -3 m'
_space_group_IT_number 221
_space_group_name_Hall '-P 4 2 3'
loop_
_atom_site_label
_atom_site_type_symbol
_atom_site_fract_x
_atom_site_fract_y
_atom_site_fract_z
Zr1 Zr 0.0000 0.0000 0.0000
W1 W 0.0000 0.5000 0.5000
F1 F 0.5000 0.5000 0.5000
```



Which one sits at the top of the stability order? ii does.